# Li2TcIr

Crystalline Li2TcIr at its relaxed geometry (PBE, Alexandria).

The energy above the most stable polymorph in this dataset is 0.213 eV/atom. The value obtained for the total moment is 0.000 μB/cell. Its energy relative to the elements is 0.131 eV per atom.

It has space group P4/mmm (No. 123), with a = 2.532 Å, b = 2.532 Å, c = 8.796 Å, α = 90.00°, β = 90.00° and γ = 90.00°. Symmetry generates all atoms from Li at (0.000, 0.000, 0.239), Tc at (0.500, 0.500, 0.500) and Ir at (0.500, 0.500, 0.000).


# LiTc2Ir

Crystalline LiTc2Ir at its relaxed geometry (PBE, Alexandria).

The energy above the most stable polymorph in this dataset is 0.123 eV/atom. The value obtained for the total moment is 0.000 μB/cell. Its energy relative to the elements is 0.136 eV per atom.

It has space group Pmmm (No. 47), with a = 2.979 Å, b = 4.162 Å, c = 4.462 Å, α = 90.00°, β = 90.00° and γ = 90.00°. Symmetry generates all atoms from Li at (0.000, 0.000, 0.000), Tc at (0.000, 0.500, 0.500), Tc at (0.500, 0.000, 0.500) and Ir at (0.500, 0.500, 0.000).


# Li2TcIr

Crystalline Li2TcIr at its relaxed geometry (PBE, Alexandria).

The energy above the most stable polymorph in this dataset is 0.250 eV/atom. The value obtained for the total moment is 0.009 μB/cell. Its energy relative to the elements is 0.169 eV per atom.

It has space group Pmmm (No. 47), with a = 2.590 Å, b = 4.376 Å, c = 4.979 Å, α = 90.00°, β = 90.00° and γ = 90.00°. Symmetry generates all atoms from Li at (0.000, 0.000, 0.245), Tc at (0.500, 0.500, 0.500) and Ir at (0.500, 0.500, 0.000).


# Li4TcIr

Crystalline Li4TcIr at its relaxed geometry (PBE, Alexandria).

The value obtained for the total moment is 8.030 μB/cell. Its energy relative to the elements is 0.266 eV per atom.

It has space group F-43m (No. 216), with a = 6.652 Å, b = 6.652 Å, c = 6.652 Å, α = 90.00°, β = 90.00° and γ = 90.00°. Symmetry generates all atoms from Li at (0.124, 0.124, 0.376), Tc at (0.000, 0.000, 0.000) and Ir at (0.250, 0.250, 0.750).


# LiTcIr

Crystalline LiTcIr at its relaxed geometry (PBE, Alexandria).

The energy above the most stable polymorph in this dataset is 0.004 eV/atom. The value obtained for the total moment is 0.000 μB/cell. Its energy relative to the elements is -0.011 eV per atom.

It has space group Imm2 (No. 44), with a = 2.722 Å, b = 3.854 Å, c = 7.778 Å, α = 90.00°, β = 90.00° and γ = 90.00°. Symmetry generates all atoms from Li at (0.000, 0.000, 0.000), Tc at (0.000, 0.000, 0.676) and Ir at (0.000, 0.000, 0.330).


# Li2TcIr

Crystalline Li2TcIr at its relaxed geometry (PBE, Alexandria).

The energy above the most stable polymorph in this dataset is 0.000 eV/atom. The value obtained for the total moment is 0.000 μB/cell. Its energy relative to the elements is -0.081 eV per atom.

It has space group F-43m (No. 216), with a = 5.940 Å, b = 5.940 Å, c = 5.940 Å, α = 90.00°, β = 90.00° and γ = 90.00°. Symmetry generates all atoms from Li at (0.000, 0.000, 0.000), Li at (0.250, 0.250, 0.250), Tc at (0.000, 0.000, 0.500) and Ir at (0.250, 0.250, 0.750).


Which of these has the highest total moment? Li4TcIr